[1]
A plane-wave DFT calculation with PBE was carried out for crystalline NpGa2Au5 at its relaxed geometry.

Summary:
Symmetry   Immm (71)
Final energy   -4.57 eV per atom
ΔE_f   -149 meV per atom

abc: 7.2074 7.2074 7.2074
angles: 154.11 108.37 77.60
With the nearest neighbours (Å) after each atom.
Sites, in units of the cell vectors:
Np 0.0000 0.0000 0.0000  8 Au 3.14, 2 Np 3.23, 4 Ga 3.28
Ga 0.2546 0.7546 0.5000  7 Au 2.63-2.85
Ga 0.7454 0.2454 0.5000  7 Au 2.63-2.85
Au 0.1329 0.3670 0.7659  3 Ga 2.63-2.85
Au 0.3989 0.6330 0.7659  3 Ga 2.63-2.85
Au 0.5000 0.0000 0.5000  2 Ga 2.76, 8 Au 2.96
Au 0.6011 0.3670 0.2341  3 Ga 2.63-2.85
Au 0.8671 0.6330 0.2341  3 Ga 2.63-2.85

=====

[2]
A plane-wave DFT calculation with PBE was carried out for crystalline Er5Hg2Ru2 at its relaxed geometry.

Summary:
Symmetry   Cmce (64)
Final energy   -5.12 eV per atom
ΔE_f   -452 meV per atom

abc: 8.7719 8.7719 7.5077
angles: 90.00 90.00 49.50
With the nearest neighbours (Å) after each atom.
Sites, in units of the cell vectors:
Er 0.0000 0.0000 0.0000  4 Ru 2.92-2.93
Er 0.0527 0.7049 0.6746  3 Ru 2.85-3.01, 3 Hg 3.13-3.16
Er 0.2049 0.5527 0.1746  3 Ru 2.85-3.01, 3 Hg 3.13-3.16
Er 0.2951 0.9473 0.6746  3 Ru 2.85-3.01, 3 Hg 3.13-3.16
Er 0.4473 0.7951 0.1746  3 Ru 2.85-3.01, 3 Hg 3.13-3.16
Er 0.5000 0.5000 0.5000  4 Ru 2.92-2.93
Er 0.5527 0.2049 0.8254  3 Ru 2.85-3.01, 3 Hg 3.13-3.16
Er 0.7049 0.0527 0.3254  3 Ru 2.85-3.01, 3 Hg 3.13-3.16
Er 0.7951 0.4473 0.8254  3 Ru 2.85-3.01, 3 Hg 3.13-3.16
Er 0.9473 0.2951 0.3254  3 Ru 2.85-3.01, 3 Hg 3.13-3.16
Hg 0.2176 0.2176 0.0000  7 Er 3.13-3.47
Hg 0.2824 0.2824 0.5000  7 Er 3.13-3.47
Hg 0.7176 0.7176 0.5000  7 Er 3.13-3.47
Hg 0.7824 0.7824 0.0000  7 Er 3.13-3.47
Ru 0.1246 0.8754 0.3713  1 Ru 2.66, 6 Er 2.85-2.94
Ru 0.3754 0.6246 0.8713  1 Ru 2.66, 6 Er 2.85-2.94
Ru 0.6246 0.3754 0.1287  1 Ru 2.66, 6 Er 2.85-2.94
Ru 0.8754 0.1246 0.6287  1 Ru 2.66, 6 Er 2.85-2.94

=====

[3]
A plane-wave DFT calculation with PBE was carried out for crystalline Rb2Ce3Te6 at its relaxed geometry.

Summary:
Symmetry   C2/m (12)
Final energy   -4.83 eV per atom

abc: 7.9589 7.9589 9.0880
angles: 98.39 98.39 120.00
With the nearest neighbours (Å) after each atom.
Sites, in units of the cell vectors:
Rb 0.1667 0.8333 0.0000  6 Te 3.73
Rb 0.8333 0.1667 0.0000  6 Te 3.73
Ce 0.0000 0.0000 0.5000  6 Te 3.17
Ce 0.3334 0.6666 0.5000  6 Te 3.17
Ce 0.6666 0.3334 0.5000  6 Te 3.17
Te 0.0668 0.3996 0.6989  3 Ce 3.17
Te 0.2675 0.2675 0.3010  3 Ce 3.17
Te 0.3996 0.0668 0.6989  3 Ce 3.17
Te 0.6004 0.9332 0.3011  3 Ce 3.17
Te 0.7325 0.7325 0.6990  3 Ce 3.17
Te 0.9332 0.6004 0.3011  3 Ce 3.17

=====

[4]
A plane-wave DFT calculation with PBE was carried out for crystalline Tb6Sm2Th3 at its relaxed geometry.

Summary:
Symmetry   R-3m (166)
Final energy   -5.39 eV per atom
ΔE_f   21 meV per atom

abc: 31.9361 31.9361 31.9361
angles: 6.44 6.44 6.44
With the nearest neighbours (Å) after each atom.
Sites, in units of the cell vectors:
Tb 0.0896 0.0896 0.0896  3 Th 3.49, 6 Tb 3.59, 3 Sm 3.65
Tb 0.1819 0.1819 0.1819  9 Tb 3.57-3.59, 3 Sm 3.57
Tb 0.3633 0.3633 0.3633  6 Th 3.54-3.55, 6 Tb 3.59
Tb 0.6367 0.6367 0.6367  6 Th 3.54-3.55, 6 Tb 3.59
Tb 0.8181 0.8181 0.8181  9 Tb 3.57-3.59, 3 Sm 3.57
Tb 0.9104 0.9104 0.9104  3 Th 3.49, 6 Tb 3.59, 3 Sm 3.65
Sm 0.4544 0.4544 0.4544  6 Tb 3.57-3.65, 6 Sm 3.59
Sm 0.5456 0.5456 0.5456  6 Tb 3.57-3.65, 6 Sm 3.59
Th 0.0000 0.0000 0.0000  6 Tb 3.54, 6 Th 3.59
Th 0.2732 0.2732 0.2732  6 Tb 3.49-3.55, 6 Th 3.59
Th 0.7268 0.7268 0.7268  6 Tb 3.49-3.55, 6 Th 3.59

=====

[5]
A plane-wave DFT calculation with PBE was carried out for crystalline KBe2I at its relaxed geometry.

Summary:
Symmetry   I-42d (122)
Final energy   -1.69 eV per atom

abc: 6.7161 6.7161 6.7161
angles: 101.80 101.80 126.22
With the nearest neighbours (Å) after each atom.
Sites, in units of the cell vectors:
K 0.0000 0.0000 0.0000  2 I 3.04, 4 Be 3.34
K 0.7500 0.2500 0.5000  2 I 3.04, 4 Be 3.34
Be 0.1661 0.1250 0.5411  2 I 2.86, 2 Be 3.12
Be 0.3750 0.8339 0.9589  2 I 2.86, 2 Be 3.12
Be 0.5839 0.6250 0.4589  2 I 2.86, 2 Be 3.12
Be 0.8750 0.4161 0.0411  2 I 2.86, 2 Be 3.12
I 0.2500 0.7500 0.5000  4 Be 2.86, 2 K 3.04
I 0.5000 0.5000 0.0000  4 Be 2.86, 2 K 3.04

=====

[6]
A plane-wave DFT calculation with PBE was carried out for crystalline TlCrIn2Br6 at its relaxed geometry.

Summary:
Symmetry   P2_1/c (14)
Final energy   -3.48 eV per atom

abc: 7.2353 8.5184 12.5501
angles: 90.00 120.37 90.00
With the nearest neighbours (Å) after each atom.
Sites, in units of the cell vectors:
Tl 0.0000 0.0000 0.0000  6 Br 3.31-3.38
Tl 0.0000 0.5000 0.5000  6 Br 3.31-3.38
Cr 0.5000 0.0000 0.5000  6 Br 2.53-2.55
Cr 0.5000 0.5000 0.0000  6 Br 2.53-2.55
In 0.1969 0.0743 0.7358  6 Br 3.23-3.48
In 0.1969 0.4257 0.2358  6 Br 3.23-3.48
In 0.8031 0.5743 0.7642  6 Br 3.23-3.48
In 0.8031 0.9257 0.2642  6 Br 3.23-3.48
Br 0.1769 0.1525 0.4718  1 Cr 2.54
Br 0.1769 0.3475 0.9718  1 Cr 2.54
Br 0.2757 0.7504 0.4224  1 Cr 2.55
Br 0.2757 0.7496 0.9224  1 Cr 2.55
Br 0.4051 0.0687 0.2818  1 Cr 2.53
Br 0.4051 0.4313 0.7818  1 Cr 2.53
Br 0.5949 0.5687 0.2182  1 Cr 2.53
Br 0.5949 0.9313 0.7182  1 Cr 2.53
Br 0.7243 0.2504 0.0776  1 Cr 2.55
Br 0.7243 0.2496 0.5776  1 Cr 2.55
Br 0.8231 0.6525 0.0282  1 Cr 2.54
Br 0.8231 0.8475 0.5282  1 Cr 2.54

=====

[7]
A plane-wave DFT calculation with PBE was carried out for crystalline SnGe3Ru at its relaxed geometry.

Summary:
Symmetry   Pm-3m (221)
Final energy   -5.14 eV per atom
ΔE_f   283 meV per atom

abc: 4.9463 4.9463 4.9463
angles: 90.00 90.00 90.00
With the nearest neighbours (Å) after each atom.
Sites, in units of the cell vectors:
Sn 0.0000 0.0000 0.0000  12 Ge 3.50
Ge 0.0000 0.5000 0.5000  2 Ru 2.47
Ge 0.5000 0.0000 0.5000  2 Ru 2.47
Ge 0.5000 0.5000 0.0000  2 Ru 2.47
Ru 0.5000 0.5000 0.5000  6 Ge 2.47

=====

[8]
A plane-wave DFT calculation with PBE was carried out for crystalline PrAlFe at its relaxed geometry.

Summary:
Symmetry   Cmce (64)
Final energy   -5.76 eV per atom
ΔE_f   -99 meV per atom

abc: 6.5508 6.5508 7.4055
angles: 90.00 90.00 127.54
With the nearest neighbours (Å) after each atom.
Sites, in units of the cell vectors:
Pr 0.1849 0.8151 0.9006  4 Fe 2.87-3.15
Pr 0.3151 0.6849 0.4006  4 Fe 2.87-3.15
Pr 0.6849 0.3151 0.5994  4 Fe 2.87-3.15
Pr 0.8151 0.1849 0.0994  4 Fe 2.87-3.15
Al 0.1990 0.3010 0.7500  4 Fe 2.62-2.67, 2 Al 2.90
Al 0.3010 0.1990 0.2500  4 Fe 2.62-2.67, 2 Al 2.90
Al 0.6990 0.8010 0.7500  4 Fe 2.62-2.67, 2 Al 2.90
Al 0.8010 0.6990 0.2500  4 Fe 2.62-2.67, 2 Al 2.90
Fe 0.0869 0.9131 0.5402  1 Fe 2.13
Fe 0.4131 0.5869 0.0402  1 Fe 2.13
Fe 0.5869 0.4131 0.9598  1 Fe 2.13
Fe 0.9131 0.0869 0.4598  1 Fe 2.13

=====

[9]
A plane-wave DFT calculation with PBE was carried out for crystalline HfTl2Br at its relaxed geometry.

Summary:
Symmetry   I-42d (122)
Final energy   -3.87 eV per atom

abc: 7.5628 7.5628 7.5628
angles: 96.90 96.90 139.43
With the nearest neighbours (Å) after each atom.
Sites, in units of the cell vectors:
Hf 0.0000 0.0000 0.0000  2 Br 2.62
Hf 0.7500 0.2500 0.5000  2 Br 2.62
Tl 0.0208 0.6250 0.8958  2 Hf 2.98
Tl 0.3750 0.2708 0.3958  2 Hf 2.98
Tl 0.7292 0.1250 0.1042  2 Hf 2.98
Tl 0.8750 0.9792 0.6042  2 Hf 2.98
Br 0.2500 0.7500 0.5000  2 Hf 2.62
Br 0.5000 0.5000 0.0000  2 Hf 2.62

=====

[10]
A plane-wave DFT calculation with PBE was carried out for crystalline SrMgTl2F at its relaxed geometry.

Summary:
Symmetry   P4/mmm (123)
Final energy   -2.89 eV per atom

abc: 5.5653 5.5653 4.7071
angles: 90.00 90.00 90.00
With the nearest neighbours (Å) after each atom.
Sites, in units of the cell vectors:
Sr 0.0000 0.0000 0.0000  2 F 2.35
Mg 0.5000 0.5000 0.0000  8 Tl 3.64, 4 Sr 3.94
Tl 0.0000 0.5000 0.5000  2 F 2.78
Tl 0.5000 0.0000 0.5000  2 F 2.78
F 0.0000 0.0000 0.5000  2 Sr 2.35

=====

[11]
A plane-wave DFT calculation with PBE was carried out for crystalline Ba3La4 at its relaxed geometry.

Summary:
Symmetry   P6/mmm (191)
Final energy   -3.25 eV per atom
ΔE_f   390 meV per atom

abc: 7.2353 7.2353 6.9098
angles: 90.00 90.00 120.00
With the nearest neighbours (Å) after each atom.
Sites, in units of the cell vectors:
Ba 0.0000 0.5000 0.0000  4 Ba 3.62, 4 La 4.04
Ba 0.5000 0.0000 0.0000  4 Ba 3.62, 4 La 4.04
Ba 0.5000 0.5000 0.0000  4 Ba 3.62, 4 La 4.04
La 0.0000 0.0000 0.2797  1 La 3.04
La 0.0000 0.0000 0.7203  1 La 3.04
La 0.3333 0.6667 0.5000  6 Ba 4.04, 9 La 4.18-4.45
La 0.6667 0.3333 0.5000  6 Ba 4.04, 9 La 4.18-4.45

=====

[12]
A plane-wave DFT calculation with PBE was carried out for crystalline K2NaIn4Au3 at its relaxed geometry.

Summary:
Symmetry   P-4m2 (115)
Final energy   -2.66 eV per atom
ΔE_f   -230 meV per atom

abc: 4.9600 4.9600 11.4874
angles: 90.00 90.00 90.00
With the nearest neighbours (Å) after each atom.
Sites, in units of the cell vectors:
K 0.0000 0.5000 0.2459  8 In 3.75-3.76, 6 Au 3.78-3.83, 2 Na 3.83
K 0.5000 0.0000 0.7541  8 In 3.75-3.76, 6 Au 3.78-3.83, 2 Na 3.83
Na 0.0000 0.0000 0.5000  4 In 2.95
In 0.0000 0.0000 0.0000  4 Au 2.85
In 0.0000 0.5000 0.6390  3 Au 2.74-2.95, 2 Na 2.95
In 0.5000 0.0000 0.3610  3 Au 2.74-2.95, 2 Na 2.95
In 0.5000 0.5000 0.0000  4 Au 2.85
Au 0.0000 0.5000 0.8775  5 In 2.74-2.85
Au 0.5000 0.0000 0.1225  5 In 2.74-2.85
Au 0.5000 0.5000 0.5000  4 In 2.95